(1)
TlSnSbAu: relaxed, PBE-GGA.

The total magnetic moment comes out at 0.000 μB per atom. As for the uncorrected formation energy: 0.087 eV per atom. The value obtained for the density of states at the Fermi level is 0.2123 states/eV/atom. For the total DFT energy (no corrections), the calculation gives -3.355 eV per atom.

It has space group F-43m (No. 216), with a = 7.459 Å, b = 7.459 Å, c = 7.459 Å, α = 90.00°, β = 90.00° and γ = 90.00°. The distinct sites, in fractional coordinates, are Tl at (0.000, 0.000, 0.000), Sn at (0.000, 0.000, 0.500), Sb at (0.250, 0.250, 0.750) and Au at (0.250, 0.250, 0.250).

***

(2)
TlSn2SbAu4: relaxed, PBE-GGA.

The total magnetic moment comes out at 0.000 μB per atom. As for the uncorrected formation energy: -0.071 eV per atom. The value obtained for the density of states at the Fermi level is 0.3322 states/eV/atom. For the total DFT energy (no corrections), the calculation gives -3.522 eV per atom.

It has space group Fmmm (No. 69), with a = 8.235 Å, b = 8.263 Å, c = 11.443 Å, α = 90.00°, β = 90.00° and γ = 90.00°. The distinct sites, in fractional coordinates, are Tl at (0.000, 0.000, 0.000), Sn at (0.250, 0.250, 0.250), Sb at (0.000, 0.000, 0.500), Au at (0.000, 0.000, 0.253) and Au at (0.250, 0.250, 0.000).

***

Among the records above, which one has the highest density of states at the Fermi level? TlSn2SbAu4